Entry 1:
A plane-wave DFT calculation with PBE was carried out for an optimized crystal structure of Rb2CaPBr6.

Summary:
size of the total moment: 2.00 μB per cell
E_form (uncorrected): -1226 meV per atom
mass density: 3.2 Mg/m³
V: 37.026 Å³ per atom

a = 7.7078 Å, b = 7.7078 Å, c = 12.4644 Å
α = 90.00°, β = 90.00°, γ = 90.00°
Space group I4/mmm (No. 139)
One atom of each set of equivalent atoms:
Rb (0.0000, 0.5000, 0.2500) [4 per cell]
Ca (0.0000, 0.0000, 0.0000) [2 per cell]
P (0.0000, 0.0000, 0.5000) [2 per cell]
Br (0.0000, 0.0000, 0.2265) [4 per cell]
Br (0.2337, 0.2337, 0.5000) [8 per cell]

---

Entry 2:
A plane-wave DFT calculation with PBE was carried out for an optimized crystal structure of BaTcAsSe2.

Summary:
size of the total moment: 3.25 μB per cell
E_form (uncorrected): 1334 meV per atom
mass density: 3.7 Mg/m³
V: 41.898 Å³ per atom

a = 5.9220 Å, b = 5.9220 Å, c = 5.9735 Å
α = 90.00°, β = 90.00°, γ = 90.00°
Space group P4/mmm (No. 123)
One atom of each set of equivalent atoms:
Ba (0.0000, 0.0000, 0.0000) [1 per cell]
Tc (0.5000, 0.5000, 0.5000) [1 per cell]
As (0.0000, 0.0000, 0.5000) [1 per cell]
Se (0.0000, 0.5000, 0.0000) [2 per cell]

---

Entry 3:
A plane-wave DFT calculation with PBE was carried out for an optimized crystal structure of SbTePd2.

Summary:
size of the total moment: 0.00 μB per cell
E_form (uncorrected): -408 meV per atom
mass density: 8.9 Mg/m³
V: 21.644 Å³ per atom

a = 4.1818 Å, b = 4.1818 Å, c = 5.7167 Å
α = 90.00°, β = 90.00°, γ = 120.00°
Space group P-6m2 (No. 187)
One atom of each set of equivalent atoms:
Sb (0.0000, 0.0000, 0.0000) [1 per cell]
Te (0.3333, 0.6667, 0.5000) [1 per cell]
Pd (0.6667, 0.3333, 0.2449) [2 per cell]

---

Entry 4:
A plane-wave DFT calculation with PBE was carried out for an optimized crystal structure of Ac6ZnIr4.

Summary:
size of the total moment: 0.00 μB per cell
mass density: 10.4 Mg/m³
V: 31.787 Å³ per atom
DFT formation energy: -0.523 eV per atom

a = 4.3621 Å, b = 14.4266 Å, c = 22.2252 Å
α = 90.00°, β = 90.00°, γ = 90.00°
Space group Cmcm (No. 63)
One atom of each set of equivalent atoms:
Ac (0.0000, 0.0000, 0.0000) [4 per cell]
Ac (0.0000, 0.1724, 0.2500) [4 per cell]
Ac (0.0000, 0.2695, 0.5808) [8 per cell]
Ac (0.0000, 0.4650, 0.1550) [8 per cell]
Zn (0.0000, 0.1518, 0.7500) [4 per cell]
Ir (0.0000, 0.0990, 0.1302) [8 per cell]
Ir (0.0000, 0.3641, 0.0432) [8 per cell]

---

Entry 5:
A plane-wave DFT calculation with PBE was carried out for an optimized crystal structure of SrPuPb2.

Summary:
size of the total moment: 5.82 μB per cell
mass density: 9.9 Mg/m³
V: 31.367 Å³ per atom
DFT formation energy: -0.239 eV per atom

a = 5.2070 Å, b = 5.2070 Å, c = 4.6276 Å
α = 90.00°, β = 90.00°, γ = 90.00°
Space group P4/mmm (No. 123)
One atom of each set of equivalent atoms:
Sr (0.0000, 0.0000, 0.0000) [1 per cell]
Pu (0.5000, 0.5000, 0.0000) [1 per cell]
Pb (0.0000, 0.5000, 0.5000) [2 per cell]

---

Entry 6:
A plane-wave DFT calculation with PBE was carried out for an optimized crystal structure of WAuSe2N.

Summary:
size of the total moment: 0.00 μB per cell
E_form (uncorrected): 396 meV per atom
mass density: 9.4 Mg/m³
V: 19.558 Å³ per atom

a = 5.0682 Å, b = 5.0682 Å, c = 3.8070 Å
α = 90.00°, β = 90.00°, γ = 90.00°
Space group P4/mmm (No. 123)
One atom of each set of equivalent atoms:
W (0.0000, 0.0000, 0.0000) [1 per cell]
Au (0.5000, 0.5000, 0.5000) [1 per cell]
Se (0.0000, 0.5000, 0.0000) [2 per cell]
N (0.0000, 0.0000, 0.5000) [1 per cell]

---

Entry 7:
A plane-wave DFT calculation with PBE was carried out for an optimized crystal structure of CsZnSbTeHO.

Summary:
size of the total moment: 0.00 μB per cell
mass density: 4.4 Mg/m³
V: 29.544 Å³ per atom
total energy: -21.32 eV/f.u.

a = 12.3193 Å, b = 4.1264 Å, c = 7.7452 Å
α = 90.00°, β = 115.78°, γ = 90.00°
Space group Cm (No. 8)
One atom of each set of equivalent atoms:
Cs (0.0000, 0.0000, 0.0000) [2 per cell]
Zn (0.2906, 0.5000, 0.2684) [2 per cell]
Sb (0.1526, 0.5000, 0.5544) [2 per cell]
Te (0.4129, 0.0000, 0.5045) [2 per cell]
H (0.2671, 0.5000, 0.0488) [2 per cell]
O (0.1336, 0.5000, 0.2882) [2 per cell]

---

Entry 8:
A plane-wave DFT calculation with PBE was carried out for an optimized crystal structure of RbGaGe.

Summary:
size of the total moment: 0.00 μB per cell
mass density: 3.9 Mg/m³
V: 32.696 Å³ per atom
DFT formation energy: -0.046 eV per atom

a = 13.6458 Å, b = 3.9217 Å, c = 8.4157 Å
α = 90.00°, β = 119.40°, γ = 90.00°
Space group Cm (No. 8)
One atom of each set of equivalent atoms:
Rb (0.0000, 0.0000, 0.0000) [2 per cell]
Rb (0.1220, 0.0000, 0.5982) [2 per cell]
Ga (0.2414, 0.5000, 0.0276) [2 per cell]
Ga (0.3739, 0.0000, 0.2668) [2 per cell]
Ge (0.2606, 0.5000, 0.3577) [2 per cell]
Ge (0.3797, 0.0000, 0.5731) [2 per cell]

---

What is the formula in the second record? BaTcAsSe2